Density functional theory data (GGA-PBE) for FeNCl2 after structural relaxation.

Summary:
* D(E_F): 12.61 states/eV per cell
* E above lowest polymorph: 2.521 eV/f.u.
* energy: -0.13677 hartree per atom
* space-group type: No. 122

Unit cell a=5.443 b=5.443 c=5.987 alpha=62.96 beta=62.96 gamma=90.00
Atoms (fractional coordinates):
N 0.500 0.500 0.000
N 0.250 0.750 0.500
Fe 0.000 0.000 0.000
Fe 0.750 0.250 0.500
Cl 0.658 0.125 0.250
Cl 0.092 0.625 0.250
Cl 0.375 0.342 0.750
Cl 0.875 0.908 0.750